This record from the Alexandria database describes crystalline NiPIN2 at its relaxed geometry. The functional is GGA-PBE.

POSCAR file:
```
NiPIN2
1.0
-0.1615 3.6363 0.3802
-3.4668 -0.2732 1.1402
2.4197 -0.6456 7.2028
I Ni N P
1 1 2 1
Cartesian
1.2099 -0.3228 3.6014
0.0000 0.0000 0.0000
-1.7334 -0.1366 0.5701
-0.0808 1.8182 0.1901
-0.6043 1.3588 4.3616
```

Properties
Crystal system: tetragonal
E_form (uncorrected) (eV per atom): 1.5360
Offset from the most stable computed form (meV per atom): 551
Symmetry: P4/mmm

=====

This record from the Alexandria database describes crystalline NiPI2N at its relaxed geometry. The functional is GGA-PBE.

POSCAR file:
```
NiPI2N
1.0
5.4058 0.0000 0.0000
0.0000 5.4058 0.0000
0.0000 0.0000 3.5282
I Ni N P
2 1 1 1
Cartesian
0.0000 2.7029 0.0000
2.7029 0.0000 0.0000
0.0000 0.0000 0.0000
0.0000 0.0000 1.7641
2.7029 2.7029 1.7641
```

Properties
Crystal system: tetragonal
E_form (uncorrected) (eV per atom): 0.9305
Offset from the most stable computed form (meV per atom): 34
Symmetry: P4/mmm

=====

This record from the Alexandria database describes crystalline NiPI2N at its relaxed geometry. The functional is GGA-PBE.

POSCAR file:
```
NiPI2N
1.0
5.7042 0.0000 0.0000
0.0000 5.7042 0.0000
0.0000 0.0000 3.3124
I Ni N P
2 1 1 1
Cartesian
0.0000 2.8521 0.0000
2.8521 0.0000 0.0000
2.8521 2.8521 1.6562
0.0000 0.0000 1.6562
0.0000 0.0000 0.0000
```

Properties
Crystal system: tetragonal
E_form (uncorrected) (eV per atom): 0.8970
Offset from the most stable computed form (meV per atom): 0
Symmetry: P4/mmm

=====

This record from the Alexandria database describes crystalline NiPIN2 at its relaxed geometry. The functional is GGA-PBE.

POSCAR file:
```
NiPIN2
1.0
-1.4464 -2.7480 1.4545
1.3789 -2.0047 -2.4164
6.1742 -0.9623 4.3216
I Ni N P
1 1 2 1
Cartesian
3.0871 -0.4812 2.1608
3.0533 -2.8575 1.6799
0.6894 -1.0023 -1.2082
-0.7232 -1.3740 0.7272
0.0000 0.0000 0.0000
```

Properties
Crystal system: tetragonal
E_form (uncorrected) (eV per atom): 0.9852
Offset from the most stable computed form (meV per atom): 0
Symmetry: P4/mmm

=====

This record from the Alexandria database describes crystalline NiPdIN2 at its relaxed geometry. The functional is GGA-PBE.

POSCAR file:
```
NiPdIN2
1.0
3.7749 0.0000 0.0000
0.0000 3.7749 0.0000
0.0000 0.0000 8.1496
I Ni Pd N
1 1 1 2
Cartesian
0.0000 0.0000 4.0748
1.8875 1.8875 4.0748
0.0000 0.0000 0.0000
0.0000 1.8875 0.0000
1.8875 0.0000 0.0000
```

Properties
Crystal system: tetragonal
E_form (uncorrected) (eV per atom): 1.5195
Offset from the most stable computed form (meV per atom): 274
Symmetry: P4/mmm

=====

This record from the Alexandria database describes crystalline NiPdIN2 at its relaxed geometry. The functional is GGA-PBE.

POSCAR file:
```
NiPdIN2
1.0
-1.9576 2.7953 1.3132
-1.4672 -2.2099 2.5169
5.9556 1.7981 5.0505
I Ni Pd N
1 1 1 2
Cartesian
2.9778 0.8990 2.5253
0.0000 0.0000 0.0000
1.2654 1.1918 4.4403
-0.7336 -1.1049 1.2584
-0.9788 1.3977 0.6566
```

Properties
Crystal system: tetragonal
E_form (uncorrected) (eV per atom): 1.2453
Offset from the most stable computed form (meV per atom): 0
Symmetry: P4/mmm

=====

This record from the Alexandria database describes crystalline NiPtI2N at its relaxed geometry. The functional is GGA-PBE.

POSCAR file:
```
NiPtI2N
1.0
-0.2836 -0.3256 -5.4209
-3.8212 -3.8452 0.4309
-2.4227 2.4056 -0.0178
I Ni Pt N
2 1 1 1
Cartesian
-1.9106 -1.9226 0.2154
-0.1418 -0.1628 -2.7104
0.0000 0.0000 0.0000
-3.2637 -0.8826 -2.5039
-1.2113 1.2028 -0.0089
```

Properties
Crystal system: tetragonal
E_form (uncorrected) (eV per atom): 0.8614
Offset from the most stable computed form (meV per atom): 0
Symmetry: P4/mmm

=====

This record from the Alexandria database describes crystalline NiPtI2N at its relaxed geometry. The functional is GGA-PBE.

POSCAR file:
```
NiPtI2N
1.0
-1.1482 5.4351 1.1734
-3.1217 0.3614 -4.7286
-3.0058 -1.0461 1.9044
I Ni Pt N
2 1 1 1
Cartesian
-1.5609 0.1807 -2.3643
-0.5741 2.7176 0.5867
-3.6378 2.3752 -0.8254
0.0000 0.0000 0.0000
-1.5029 -0.5231 0.9522
```

Properties
Crystal system: tetragonal
E_form (uncorrected) (eV per atom): 0.8763
Offset from the most stable computed form (meV per atom): 15
Symmetry: P4/mmm

=====

This record from the Alexandria database describes crystalline Rb2NiI6N at its relaxed geometry. The functional is GGA-PBE.

POSCAR file:
```
Rb2NiI6N
1.0
7.5072 0.0000 0.0000
0.0000 7.5072 0.0000
3.7536 3.7536 6.1545
I Ni Rb N
6 1 2 1
Cartesian
3.7536 3.7536 3.5975
7.5072 7.5072 2.5570
1.9669 1.9669 0.0000
5.5402 5.5402 0.0000
5.5402 1.9669 0.0000
1.9669 5.5402 0.0000
0.0000 0.0000 0.0000
7.5072 3.7536 3.0772
3.7536 7.5072 3.0772
3.7536 3.7536 0.0000
```

Properties
Crystal system: tetragonal
E_form (uncorrected) (eV per atom): -0.1793
Symmetry: I4/mmm

=====

This record from the Alexandria database describes crystalline ReNiIN2 at its relaxed geometry. The functional is GGA-PBE.

POSCAR file:
```
ReNiIN2
1.0
-3.0998 0.6205 2.1230
-2.2060 -0.6015 -3.0451
-0.2513 -5.7963 1.3271
I Re N Ni
1 1 2 1
Cartesian
-0.1257 -2.8981 0.6635
0.0000 0.0000 0.0000
-1.1030 -0.3008 -1.5226
-1.5499 0.3102 1.0615
-2.7785 -2.8887 0.2025
```

Properties
Crystal system: tetragonal
E_form (uncorrected) (eV per atom): 0.7684
Offset from the most stable computed form (meV per atom): 0
Symmetry: P4/mmm

=====

This record from the Alexandria database describes crystalline ReNiIN2 at its relaxed geometry. The functional is GGA-PBE.

POSCAR file:
```
ReNiIN2
1.0
3.7690 0.0000 0.0000
0.0000 3.7690 0.0000
0.0000 0.0000 5.1857
I Re N Ni
1 1 2 1
Cartesian
0.0000 0.0000 2.5928
1.8845 1.8845 2.5928
0.0000 1.8845 0.0000
1.8845 0.0000 0.0000
0.0000 0.0000 0.0000
```

Properties
Crystal system: tetragonal
E_form (uncorrected) (eV per atom): 2.1556
Offset from the most stable computed form (meV per atom): 1387
Symmetry: P4/mmm

=====

This record from the Alexandria database describes crystalline NiRhI2N at its relaxed geometry. The functional is GGA-PBE.

POSCAR file:
```
NiRhI2N
1.0
-4.2605 0.7306 3.1678
-2.5361 -4.0141 -2.4852
1.3002 -2.2213 2.2610
I Ni Rh N
2 1 1 1
Cartesian
-1.2680 -2.0070 -1.2426
-2.1303 0.3653 1.5839
0.0000 0.0000 0.0000
-2.7482 -2.7524 1.4718
0.6501 -1.1106 1.1305
```

Properties
Crystal system: tetragonal
E_form (uncorrected) (eV per atom): 0.8541
Offset from the most stable computed form (meV per atom): 72
Symmetry: P4/mmm

=====

- What is the E_form (uncorrected) in the third record?
  0.8970 eV per atom